1.
# PBE LiMo2Rh2, relaxed
# E = -7.205 eV/atom
# Symmetry = I4/mmm (139)
# Excess energy over the best structure of this formula in the dataset = 41.9 kJ/mol of atoms
# Formation energy from the elements = 451 meV/atom
# Crystal system = tetragonal
data_LiMo2Rh2
_chemical_formula_sum 'Li2 Mo4 Rh4'
_cell_length_a 4.5060
_cell_length_b 4.5060
_cell_length_c 9.1408
_cell_angle_alpha 90.00
_cell_angle_beta 90.00
_cell_angle_gamma 90.00
_space_group_name_H-M_alt 'P 1'
_space_group_IT_number 1
_space_group_name_Hall 'P 1'
loop_
_atom_site_label
_atom_site_type_symbol
_atom_site_fract_x
_atom_site_fract_y
_atom_site_fract_z
_atom_site_occupancy
Li1 Li 0.0000 0.0000 0.0000 1
Li2 Li 0.5000 0.5000 0.5000 1
Mo1 Mo 0.0000 0.0000 0.3721 1
Mo2 Mo 0.0000 0.0000 0.6279 1
Mo3 Mo 0.5000 0.5000 0.1279 1
Mo4 Mo 0.5000 0.5000 0.8721 1
Rh1 Rh 0.0000 0.5000 0.2500 1
Rh2 Rh 0.0000 0.5000 0.7500 1
Rh3 Rh 0.5000 0.0000 0.2500 1
Rh4 Rh 0.5000 0.0000 0.7500 1

=====

2.
# PBE LiMoRh, relaxed
# E = -6.612 eV/atom
# Symmetry = Amm2 (38)
# Excess energy over the best structure of this formula in the dataset = 3.3 kJ/mol of atoms
# Formation energy from the elements = 86 meV/atom
# Crystal system = orthorhombic
data_LiMoRh
_chemical_formula_sum 'Li4 Mo4 Rh4'
_cell_length_a 13.7948
_cell_length_b 2.7351
_cell_length_c 4.7416
_cell_angle_alpha 90.00
_cell_angle_beta 90.00
_cell_angle_gamma 90.00
_space_group_name_H-M_alt 'P 1'
_space_group_IT_number 1
_space_group_name_Hall 'P 1'
loop_
_atom_site_label
_atom_site_type_symbol
_atom_site_fract_x
_atom_site_fract_y
_atom_site_fract_z
_atom_site_occupancy
Li1 Li 0.1530 0.0000 0.0000 1
Li2 Li 0.1530 0.5000 0.5000 1
Li3 Li 0.8470 0.0000 0.0000 1
Li4 Li 0.8470 0.5000 0.5000 1
Mo1 Mo 0.3384 0.0000 0.6659 1
Mo2 Mo 0.3384 0.5000 0.1659 1
Mo3 Mo 0.6616 0.0000 0.6659 1
Mo4 Mo 0.6616 0.5000 0.1659 1
Rh1 Rh 0.0000 0.0000 0.6666 1
Rh2 Rh 0.0000 0.5000 0.1666 1
Rh3 Rh 0.5000 0.0000 0.9986 1
Rh4 Rh 0.5000 0.5000 0.4986 1

=====

3.
# PBE LiMoRh3, relaxed
# E = -6.389 eV/atom
# Symmetry = Pm-3m (221)
# Excess energy over the best structure of this formula in the dataset = 0.0 kJ/mol of atoms
# Formation energy from the elements = 571 meV/atom
# Crystal system = cubic
data_LiMoRh3
_chemical_formula_sum 'Li1 Mo1 Rh3'
_cell_length_a 4.0967
_cell_length_b 4.0967
_cell_length_c 4.0967
_cell_angle_alpha 90.00
_cell_angle_beta 90.00
_cell_angle_gamma 90.00
_space_group_name_H-M_alt 'P 1'
_space_group_IT_number 1
_space_group_name_Hall 'P 1'
loop_
_atom_site_label
_atom_site_type_symbol
_atom_site_fract_x
_atom_site_fract_y
_atom_site_fract_z
_atom_site_occupancy
Li1 Li 0.0000 0.0000 0.0000 1
Mo1 Mo 0.5000 0.5000 0.5000 1
Rh1 Rh 0.0000 0.0000 0.5000 1
Rh2 Rh 0.0000 0.5000 0.0000 1
Rh3 Rh 0.5000 0.0000 0.0000 1